Below is crystalline Sc4MnTc at its relaxed geometry, with properties calculated at the PBE-GGA level.

Properties
ΔE_f	-86	meV per atom
magnetic moment	0.81	μB/f.u.

a b c (Å): 3.240 3.240 11.294
angles (deg): 90.02 90.02 89.99
Site moments in Bohr magnetons follow the coordinates.
Element x y z (fractional)
Sc 0.500 0.500 0.867  -0.16
Sc 0.500 0.500 0.133  -0.16
Sc 0.000 0.000 0.636  0.00
Sc 0.000 0.000 0.364  0.00
Mn 0.000 0.000 0.000  1.26
Tc 0.500 0.500 0.500  -0.04

Below is crystalline ErPuFeTc at its relaxed geometry, with properties calculated at the PBE-GGA level.

Properties
ΔE_f	37	meV per atom
magnetic moment	2.58	μB/f.u.

a b c (Å): 4.744 4.744 4.744
angles (deg): 60.00 60.00 60.00
Site moments in Bohr magnetons follow the coordinates.
Element x y z (fractional)
Fe 0.000 0.000 0.000  2.07
Er 0.250 0.250 0.250  -0.14
Tc 0.500 0.500 0.500  0.64
Pu 0.750 0.750 0.750  -4.98

Below is crystalline Y2Ni at its relaxed geometry, with properties calculated at the PBE-GGA level.

Properties
ΔE_f	-233	meV per atom
magnetic moment	0.00	μB/f.u.

a b c (Å): 7.191 7.191 4.807
angles (deg): 90.00 90.00 120.00
Element x y z (fractional)
Ni 0.000 0.000 0.500
Ni 0.333 0.667 0.000
Ni 0.667 0.333 0.000
Y 0.000 0.270 0.000
Y 0.000 0.599 0.500
Y 0.270 0.000 0.000
Y 0.730 0.730 0.000
Y 0.599 0.000 0.500
Y 0.401 0.401 0.500

Below is crystalline BeTe2P at its relaxed geometry, with properties calculated at the PBE-GGA level.

Properties
E	-3.466	eV/atom
magnetic moment	0.00	μB/f.u.

a b c (Å): 3.812 4.883 4.891
angles (deg): 74.63 90.00 90.00
Element x y z (fractional)
P 0.500 0.750 0.750
Te 0.000 0.017 0.017
Te 0.000 0.483 0.483
Be 0.500 0.250 0.250

What is the magnetic moment in the second record? 2.58 μB/f.u.